Record 1
Entry from Alexandria: a geometry-optimized Co2RuAu structure (PBE).

Calculated values
The crystal system is tetragonal. The polymorph energy (0 for the lowest one) comes out at 0 meV/atom.

a = 2.6960 Å, b = 2.6960 Å, c = 7.3241 Å
α = 90.00°, β = 90.00°, γ = 90.00°
Space group P4/mmm (No. 123)
Inequivalent atoms, fractional coordinates:
1 Co 0.0000 0.0000 0.2284 (multiplicity 2)
2 Ru 0.5000 0.5000 0.0000 (multiplicity 1)
3 Au 0.5000 0.5000 0.5000 (multiplicity 1)

Record 2
Entry from Alexandria: a geometry-optimized Co2RuAu structure (PBE).

Calculated values
The crystal system is orthorhombic. The polymorph energy (0 for the lowest one) comes out at 46 meV/atom.

a = 2.6992 Å, b = 3.6653 Å, c = 5.5538 Å
α = 90.00°, β = 90.00°, γ = 90.00°
Space group Pmm2 (No. 25)
Inequivalent atoms, fractional coordinates:
1 Co 0.0000 0.0000 0.0000 (multiplicity 1)
2 Co 0.5000 0.5000 0.2143 (multiplicity 1)
3 Ru 0.0000 0.0000 0.4350 (multiplicity 1)
4 Au 0.5000 0.5000 0.7329 (multiplicity 1)

Record 3
Entry from Alexandria: a geometry-optimized Co2Ru2Au structure (PBE).

Calculated values
The crystal system is tetragonal. The polymorph energy (0 for the lowest one) comes out at 48 meV/atom.

a = 7.2452 Å, b = 7.2452 Å, c = 2.6682 Å
α = 90.00°, β = 90.00°, γ = 90.00°
Space group P4/mbm (No. 127)
Inequivalent atoms, fractional coordinates:
1 Co 0.1663 0.3337 0.0000 (multiplicity 4)
2 Ru 0.1261 0.6261 0.5000 (multiplicity 4)
3 Au 0.0000 0.0000 0.5000 (multiplicity 2)

Record 4
Entry from Alexandria: a geometry-optimized Co2RuAu2 structure (PBE).

Calculated values
The crystal system is tetragonal. The polymorph energy (0 for the lowest one) comes out at 15 meV/atom.

a = 3.2053 Å, b = 3.2053 Å, c = 15.3384 Å
α = 90.00°, β = 90.00°, γ = 90.00°
Space group I4/mmm (No. 139)
Inequivalent atoms, fractional coordinates:
1 Co 0.0000 0.5000 0.2500 (multiplicity 4)
2 Ru 0.0000 0.0000 0.0000 (multiplicity 2)
3 Au 0.0000 0.0000 0.3910 (multiplicity 4)

Record 5
Entry from Alexandria: a geometry-optimized CoRuAu structure (PBE).

Calculated values
The crystal system is orthorhombic. The polymorph energy (0 for the lowest one) comes out at 88 meV/atom.

a = 2.7457 Å, b = 3.5822 Å, c = 8.8451 Å
α = 90.00°, β = 90.00°, γ = 90.00°
Space group Imm2 (No. 44)
Inequivalent atoms, fractional coordinates:
1 Co 0.0000 0.0000 0.0000 (multiplicity 2)
2 Ru 0.0000 0.0000 0.6284 (multiplicity 2)
3 Au 0.0000 0.0000 0.3189 (multiplicity 2)

Record 6
Entry from Alexandria: a geometry-optimized Co2RuAu structure (PBE).

Calculated values
The crystal system is tetragonal. The polymorph energy (0 for the lowest one) comes out at 56 meV/atom.

a = 3.8960 Å, b = 3.8960 Å, c = 7.2037 Å
α = 90.00°, β = 90.00°, γ = 90.00°
Space group I4/mmm (No. 139)
Inequivalent atoms, fractional coordinates:
1 Co 0.0000 0.5000 0.2500 (multiplicity 4)
2 Ru 0.0000 0.0000 0.0000 (multiplicity 2)
3 Au 0.0000 0.0000 0.5000 (multiplicity 2)

Record 7
Entry from Alexandria: a geometry-optimized Co2RuAu structure (PBE).

Calculated values
The crystal system is tetragonal. The polymorph energy (0 for the lowest one) comes out at 49 meV/atom.

a = 3.9170 Å, b = 3.9170 Å, c = 3.5812 Å
α = 90.00°, β = 90.00°, γ = 90.00°
Space group P4/mmm (No. 123)
Inequivalent atoms, fractional coordinates:
1 Co 0.0000 0.5000 0.0000 (multiplicity 2)
2 Ru 0.0000 0.0000 0.5000 (multiplicity 1)
3 Au 0.5000 0.5000 0.5000 (multiplicity 1)

Record 8
Entry from Alexandria: a geometry-optimized Co2RuAu structure (PBE).

Calculated values
The crystal system is trigonal. The polymorph energy (0 for the lowest one) comes out at 40 meV/atom.

a = 2.7007 Å, b = 2.7007 Å, c = 26.1139 Å
α = 90.00°, β = 90.00°, γ = 120.00°
Space group R3m (No. 160, hexagonal axes)
Inequivalent atoms, fractional coordinates:
1 Co 0.0000 0.0000 0.0000 (multiplicity 3)
2 Co 0.0000 0.0000 0.2614 (multiplicity 3)
3 Ru 0.0000 0.0000 0.7441 (multiplicity 3)
4 Au 0.0000 0.0000 0.5062 (multiplicity 3)

Record 9
Entry from Alexandria: a geometry-optimized Co2RuAu structure (PBE).

Calculated values
The crystal system is cubic. The polymorph energy (0 for the lowest one) comes out at 220 meV/atom.

a = 6.0891 Å, b = 6.0891 Å, c = 6.0891 Å
α = 90.00°, β = 90.00°, γ = 90.00°
Space group F-43m (No. 216)
Inequivalent atoms, fractional coordinates:
1 Co 0.0000 0.0000 0.0000 (multiplicity 4)
2 Co 0.2500 0.2500 0.2500 (multiplicity 4)
3 Ru 0.2500 0.2500 0.7500 (multiplicity 4)
4 Au 0.0000 0.0000 0.5000 (multiplicity 4)

Record 10
Entry from Alexandria: a geometry-optimized CoRuAu structure (PBE).

Calculated values
The crystal system is cubic. The polymorph energy (0 for the lowest one) comes out at 368 meV/atom.

a = 5.7492 Å, b = 5.7492 Å, c = 5.7492 Å
α = 90.00°, β = 90.00°, γ = 90.00°
Space group F-43m (No. 216)
Inequivalent atoms, fractional coordinates:
1 Co 0.0000 0.0000 0.0000 (multiplicity 4)
2 Ru 0.2500 0.2500 0.2500 (multiplicity 4)
3 Au 0.2500 0.2500 0.7500 (multiplicity 4)

Record 11
Entry from Alexandria: a geometry-optimized CoRuAu4 structure (PBE).

Calculated values
The crystal system is cubic.

a = 7.6026 Å, b = 7.6026 Å, c = 7.6026 Å
α = 90.00°, β = 90.00°, γ = 90.00°
Space group F-43m (No. 216)
Inequivalent atoms, fractional coordinates:
1 Co 0.0000 0.0000 0.0000 (multiplicity 4)
2 Ru 0.2500 0.2500 0.7500 (multiplicity 4)
3 Au 0.1251 0.1251 0.3749 (multiplicity 16)

Record 12
Entry from Alexandria: a geometry-optimized Co2RuAu structure (PBE).

Calculated values
The crystal system is monoclinic. The polymorph energy (0 for the lowest one) comes out at 50 meV/atom.

a = 8.9653 Å, b = 2.6800 Å, c = 4.6301 Å
α = 90.00°, β = 102.31°, γ = 90.00°
Space group Cm (No. 8)
Inequivalent atoms, fractional coordinates:
1 Co 0.0000 0.0000 0.0000 (multiplicity 2)
2 Co 0.2311 0.5000 0.2450 (multiplicity 2)
3 Ru 0.2537 0.0000 0.7946 (multiplicity 2)
4 Au 0.4898 0.0000 0.4913 (multiplicity 2)

Record 13
Entry from Alexandria: a geometry-optimized Co2RuAu structure (PBE).

Calculated values
The crystal system is monoclinic. The polymorph energy (0 for the lowest one) comes out at 63 meV/atom.

a = 8.7001 Å, b = 2.7010 Å, c = 4.7954 Å
α = 90.00°, β = 100.27°, γ = 90.00°
Space group C2/m (No. 12)
Inequivalent atoms, fractional coordinates:
1 Co 0.2442 0.0000 0.2137 (multiplicity 4)
2 Ru 0.0000 0.5000 0.0000 (multiplicity 2)
3 Au 0.0000 0.0000 0.5000 (multiplicity 2)

Record 14
Entry from Alexandria: a geometry-optimized Co2RuAu structure (PBE).

Calculated values
The crystal system is orthorhombic. The polymorph energy (0 for the lowest one) comes out at 48 meV/atom.

a = 4.0846 Å, b = 2.6758 Å, c = 9.9700 Å
α = 90.00°, β = 90.00°, γ = 90.00°
Space group Amm2 (No. 38)
Inequivalent atoms, fractional coordinates:
1 Co 0.0000 0.0000 0.0000 (multiplicity 2)
2 Co 0.5000 0.0000 0.1226 (multiplicity 2)
3 Ru 0.0000 0.0000 0.7208 (multiplicity 2)
4 Au 0.5000 0.0000 0.3824 (multiplicity 2)

Calculated V in order - 13.31 13.74 14.01 15.76 14.50 13.67 13.74 13.75 14.11 15.84 18.31 13.59 13.86 13.62 Å³/atom
Calculated formation energy from the elements in order - 24.34 28.77 36.77 58.92 35.04 29.74 29.05 28.24 45.59 62.02 70.06 29.21 30.46 28.95 kJ/mol of atoms